No. 1
# Si2AuBr8

Crystalline Si2AuBr8 at its relaxed geometry (PBE, Alexandria).

Values from the calculation:
- formation energy (no corrections) (eV per atom) = -0.486

```
data_Si2AuBr8
_symmetry_space_group_name_H-M 'C 1 2/m 1'
_symmetry_Int_Tables_number 12
_cell_length_a 14.3669
_cell_length_b 9.4656
_cell_length_c 7.4997
_cell_angle_alpha 90.00
_cell_angle_beta 108.74
_cell_angle_gamma 90.00
loop_
_symmetry_equiv_pos_as_xyz
'x,y,z'
'-x,-y,-z'
'-x,y,-z'
'x,-y,z'
'x+1/2,y+1/2,z'
'-x+1/2,-y+1/2,-z'
'-x+1/2,y+1/2,-z'
'x+1/2,-y+1/2,z'
loop_
_atom_site_label
_atom_site_fract_x
_atom_site_fract_y
_atom_site_fract_z
Si1 0.2001 0.0000 0.1544
Au1 0.0000 0.0000 0.5000
Br1 0.1363 0.5000 0.7258
Br2 0.1397 0.1894 0.2520
Br3 0.1509 0.0000 0.8330
```

=====

No. 2
# PaTe4

Crystalline PaTe4 at its relaxed geometry (PBE, Alexandria).

Values from the calculation:
- formation energy (no corrections) (eV per atom) = -0.026

```
data_PaTe4
_symmetry_space_group_name_H-M 'P m -3 m'
_symmetry_Int_Tables_number 221
_symmetry_space_group_name_Hall '-P 4 2 3'
_cell_length_a 5.8912
_cell_length_b 5.8912
_cell_length_c 5.8912
_cell_angle_alpha 90.00
_cell_angle_beta 90.00
_cell_angle_gamma 90.00
loop_
_atom_site_label
_atom_site_fract_x
_atom_site_fract_y
_atom_site_fract_z
Pa1 0.0000 0.0000 0.0000
Te1 0.0000 0.0000 0.5000
Te2 0.5000 0.5000 0.5000
```

=====

No. 3
# KAg6F12

Crystalline KAg6F12 at its relaxed geometry (PBE, Alexandria).

Values from the calculation:
- energy above the most stable polymorph in this dataset (meV per atom) = 0
- formation energy (no corrections) (eV per atom) = -1.317

```
data_KAg6F12
_symmetry_space_group_name_H-M 'R -3'
_symmetry_Int_Tables_number 148
_symmetry_space_group_name_Hall '-R 3'
_cell_length_a 11.1658
_cell_length_b 11.1658
_cell_length_c 8.4915
_cell_angle_alpha 90.00
_cell_angle_beta 90.00
_cell_angle_gamma 120.00
loop_
_atom_site_label
_atom_site_fract_x
_atom_site_fract_y
_atom_site_fract_z
K1 0.0000 0.0000 0.0000
Ag1 0.0854 0.5425 0.3236
F1 0.0002 0.2540 0.9988
F2 0.0860 0.1724 0.3382
```

=====

No. 4
# Tb2Er6Tl

Crystalline Tb2Er6Tl at its relaxed geometry (PBE, Alexandria).

Values from the calculation:
- total DFT energy (no corrections) (eV per atom) = -4.389

```
data_Tb2Er6Tl
_symmetry_space_group_name_H-M 'P -1'
_symmetry_Int_Tables_number 2
_cell_length_a 6.5984
_cell_length_b 9.0741
_cell_length_c 10.5339
_cell_angle_alpha 67.26
_cell_angle_beta 73.74
_cell_angle_gamma 71.15
loop_
_symmetry_equiv_pos_as_xyz
'x,y,z'
'-x,-y,-z'
loop_
_atom_site_label
_atom_site_fract_x
_atom_site_fract_y
_atom_site_fract_z
Tb1 0.0455 0.1899 0.4299
Tb2 0.2790 0.4628 0.4691
Er1 0.0404 0.1991 0.7637
Er2 0.0733 0.1879 0.0829
Er3 0.2736 0.4742 0.7973
Er4 0.2755 0.4700 0.1320
Er5 0.3942 0.8589 0.6506
Er6 0.4032 0.8618 0.2994
Tl1 0.3813 0.8478 0.9790
```

=====

No. 5
# BaYHg3

Crystalline BaYHg3 at its relaxed geometry (PBE, Alexandria).

Values from the calculation:
- energy above the most stable polymorph in this dataset (meV per atom) = 0

```
data_BaYHg3
_symmetry_space_group_name_H-M 'P m -3 m'
_symmetry_Int_Tables_number 221
_symmetry_space_group_name_Hall '-P 4 2 3'
_cell_length_a 5.7765
_cell_length_b 5.7765
_cell_length_c 5.7765
_cell_angle_alpha 90.00
_cell_angle_beta 90.00
_cell_angle_gamma 90.00
loop_
_atom_site_label
_atom_site_fract_x
_atom_site_fract_y
_atom_site_fract_z
Ba1 0.0000 0.0000 0.0000
Y1 0.5000 0.5000 0.5000
Hg1 0.0000 0.5000 0.5000
```

=====

No. 6
# Nd2ScSn

Crystalline Nd2ScSn at its relaxed geometry (PBE, Alexandria).

Values from the calculation:
- energy above the most stable polymorph in this dataset (meV per atom) = 0

```
data_Nd2ScSn
_symmetry_space_group_name_H-M 'P 4/m m m'
_symmetry_Int_Tables_number 123
_symmetry_space_group_name_Hall '-P 4 2'
_cell_length_a 4.8103
_cell_length_b 4.8103
_cell_length_c 4.8342
_cell_angle_alpha 90.00
_cell_angle_beta 90.00
_cell_angle_gamma 90.00
loop_
_atom_site_label
_atom_site_fract_x
_atom_site_fract_y
_atom_site_fract_z
Nd1 0.0000 0.5000 0.0000
Sc1 0.0000 0.0000 0.5000
Sn1 0.5000 0.5000 0.5000
```

=====

No. 7
# Zn2FeBr

Crystalline Zn2FeBr at its relaxed geometry (PBE, Alexandria).

Values from the calculation:
- energy above the most stable polymorph in this dataset (meV per atom) = 322
- formation energy (no corrections) (eV per atom) = 0.450

```
data_Zn2FeBr
_symmetry_space_group_name_H-M 'I 4/m m m'
_symmetry_Int_Tables_number 139
_symmetry_space_group_name_Hall '-I 4 2'
_cell_length_a 3.6890
_cell_length_b 3.6890
_cell_length_c 10.6270
_cell_angle_alpha 90.00
_cell_angle_beta 90.00
_cell_angle_gamma 90.00
loop_
_atom_site_label
_atom_site_fract_x
_atom_site_fract_y
_atom_site_fract_z
Zn1 0.0000 0.5000 0.2500
Fe1 0.0000 0.0000 0.0000
Br1 0.0000 0.0000 0.5000
```

=====

No. 8
# Mg2Ta2CuO8

Crystalline Mg2Ta2CuO8 at its relaxed geometry (PBE, Alexandria).

Values from the calculation:
- formation energy (no corrections) (eV per atom) = -2.429

```
data_Mg2Ta2CuO8
_symmetry_space_group_name_H-M 'C 1 2/c 1'
_symmetry_Int_Tables_number 15
_cell_length_a 19.1223
_cell_length_b 6.0576
_cell_length_c 5.1655
_cell_angle_alpha 90.00
_cell_angle_beta 92.12
_cell_angle_gamma 90.00
loop_
_symmetry_equiv_pos_as_xyz
'x,y,z'
'-x,-y,-z'
'-x,y,-z+1/2'
'x,-y,z+1/2'
'x+1/2,y+1/2,z'
'-x+1/2,-y+1/2,-z'
'-x+1/2,y+1/2,-z+1/2'
'x+1/2,-y+1/2,z+1/2'
loop_
_atom_site_label
_atom_site_fract_x
_atom_site_fract_y
_atom_site_fract_z
Mg1 0.2275 0.1424 0.2452
Ta1 0.1160 0.3377 0.7319
Cu1 0.0000 0.1493 0.2500
O1 0.0574 0.1346 0.5616
O2 0.0726 0.3888 0.0634
O3 0.1869 0.3978 0.4489
O4 0.1908 0.1456 0.8738
```

=====

No. 9
# BAuN2

Crystalline BAuN2 at its relaxed geometry (PBE, Alexandria).

Values from the calculation:
- formation energy (no corrections) (eV per atom) = 0.670

```
data_BAuN2
_symmetry_space_group_name_H-M 'R -3 m'
_symmetry_Int_Tables_number 166
_symmetry_space_group_name_Hall '-R 3 2"'
_cell_length_a 3.5106
_cell_length_b 3.5106
_cell_length_c 14.3180
_cell_angle_alpha 90.00
_cell_angle_beta 90.00
_cell_angle_gamma 120.00
loop_
_atom_site_label
_atom_site_fract_x
_atom_site_fract_y
_atom_site_fract_z
B1 0.0000 0.0000 0.0000
Au1 0.0000 0.0000 0.5000
N1 0.0000 0.0000 0.0942
```

=====

No. 10
# RbNd2AuS4

Crystalline RbNd2AuS4 at its relaxed geometry (PBE, Alexandria).

Values from the calculation:
- formation energy (no corrections) (eV per atom) = -1.538

```
data_RbNd2AuS4
_symmetry_space_group_name_H-M 'C m c m'
_symmetry_Int_Tables_number 63
_symmetry_space_group_name_Hall '-C 2c 2'
_cell_length_a 4.1659
_cell_length_b 14.1530
_cell_length_c 14.4315
_cell_angle_alpha 90.00
_cell_angle_beta 90.00
_cell_angle_gamma 90.00
loop_
_atom_site_label
_atom_site_fract_x
_atom_site_fract_y
_atom_site_fract_z
Rb1 0.0000 0.1161 0.2500
Nd1 0.0000 0.3678 0.0654
Au1 0.0000 0.1576 0.7500
S1 0.0000 0.0000 0.0000
S2 0.0000 0.2615 0.6049
S3 0.0000 0.4414 0.2500
```

=====

No. 11
# Tb3Zn2Ni4

Crystalline Tb3Zn2Ni4 at its relaxed geometry (PBE, Alexandria).

Values from the calculation:
- total DFT energy (no corrections) (eV per atom) = -4.832

```
data_Tb3Zn2Ni4
_symmetry_space_group_name_H-M 'C 1 2/m 1'
_symmetry_Int_Tables_number 12
_cell_length_a 9.6062
_cell_length_b 4.1306
_cell_length_c 8.2028
_cell_angle_alpha 90.00
_cell_angle_beta 97.99
_cell_angle_gamma 90.00
loop_
_symmetry_equiv_pos_as_xyz
'x,y,z'
'-x,-y,-z'
'-x,y,-z'
'x,-y,z'
'x+1/2,y+1/2,z'
'-x+1/2,-y+1/2,-z'
'-x+1/2,y+1/2,-z'
'x+1/2,-y+1/2,z'
loop_
_atom_site_label
_atom_site_fract_x
_atom_site_fract_y
_atom_site_fract_z
Tb1 0.0000 0.0000 0.0000
Tb2 0.1251 0.5000 0.3778
Zn1 0.1810 0.5000 0.7780
Ni1 0.0822 0.0000 0.6328
Ni2 0.2305 0.5000 0.0836
```

=====

no.,ρ (Mg/m³)
1,3.1
2,6.0
3,5.0
4,9.4
5,7.1
6,6.7
7,6.1
8,6.7
9,7.7
10,5.5
11,8.7